Model a:
Computed, not measured: a relaxed Nb3AsI crystal at the PBE level of DFT.

Magnetic moment, μB/atom: 0.00

a b c (Å): 4.8637 4.8637 4.8637
angles (deg): 90.00 90.00 90.00
Fractional coordinates of all 5 atoms:
Nb: 0.0000 0.0000 0.5000
Nb: 0.0000 0.5000 0.0000
Nb: 0.5000 0.0000 0.0000
As: 0.0000 0.0000 0.0000
I: 0.5000 0.5000 0.5000

***

Model b:
Computed, not measured: a relaxed Nb3AsI crystal at the PBE level of DFT.

Magnetic moment, μB/atom: 0.00

a b c (Å): 5.0139 5.0139 5.0139
angles (deg): 90.00 90.00 90.00
Fractional coordinates of all 5 atoms:
Nb: 0.0000 0.0000 0.5000
Nb: 0.0000 0.5000 0.0000
Nb: 0.5000 0.0000 0.0000
As: 0.5000 0.5000 0.5000
I: 0.0000 0.0000 0.0000

***

Going by the energies, model a is most stable and the next is 0.836 eV/atom up.